AlInAs: optimized geometry, PBE-GGA.

The calculated formation energy is -0.0964 eV/atom. The calculation puts the total energy at -3.807 eV/atom.

The structure belongs to space group P3m1 (No. 156); the cell edges are 3.9218, 3.9218 and 5.2473 Å and the angles 90.00°, 90.00° and 120.00°. Symmetry generates all atoms from Al at (0.0000, 0.0000, 0.0000), In at (0.6667, 0.3333, 0.6032) and As at (0.3333, 0.6667, 0.2113).


TaReAs4: optimized geometry, PBE-GGA.

The calculated formation energy is 0.9987 eV/atom. The calculation puts the total energy at -6.151 eV/atom.

The structure belongs to space group F-43m (No. 216); the cell edges are 7.489, 7.489 and 7.489 Å and the angles 90.00°, 90.00° and 90.00°. Symmetry generates all atoms from Ta at (0.000, 0.000, 0.000), Re at (0.250, 0.250, 0.750) and As at (0.125, 0.125, 0.375).


BaV3Ru: optimized geometry, PBE-GGA.

The calculated formation energy is 2.6992 eV/atom. The calculation puts the total energy at -5.012 eV/atom.

The structure belongs to space group Pm-3m (No. 221); the cell edges are 4.700, 4.700 and 4.700 Å and the angles 90.00°, 90.00° and 90.00°. Symmetry generates all atoms from Ba at (0.000, 0.000, 0.000), V at (0.000, 0.000, 0.500) and Ru at (0.500, 0.500, 0.500).


La14PrPb: optimized geometry, PBE-GGA.

The calculated formation energy is -0.0780 eV/atom. The calculation puts the total energy at -4.920 eV/atom.

The structure belongs to space group Amm2 (No. 38); the cell edges are 10.441, 10.407 and 10.404 Å and the angles 90.00°, 90.00° and 90.00°. Symmetry generates all atoms from La at (0.000, 0.000, 0.000), La at (0.000, 0.000, 0.498), La at (0.000, 0.250, 0.250), La at (0.255, 0.000, 0.242), La at (0.255, 0.000, 0.756), La at (0.255, 0.243, 0.000), La at (0.500, 0.250, 0.250), Pr at (0.500, 0.000, 0.500) and Pb at (0.500, 0.000, 0.999).


AlBWSe2: optimized geometry, PBE-GGA.

The calculation puts the total energy at -4.106 eV/atom. The value obtained for the formation energy without anion corrections is 1.962 eV/atom.

The structure belongs to space group P4/mmm (No. 123); the cell edges are 4.771, 4.771 and 5.039 Å and the angles 90.00°, 90.00° and 90.00°. Symmetry generates all atoms from Al at (0.000, 0.000, 0.000), B at (0.500, 0.500, 0.500), W at (0.000, 0.000, 0.500) and Se at (0.000, 0.500, 0.000).


Mg5CdN4: optimized geometry, PBE-GGA.

The calculation puts the total energy at -4.646 eV/atom. The value obtained for the formation energy without anion corrections is -0.427 eV/atom.

The structure belongs to space group Pmmn (No. 59, origin choice 2); the cell edges are 6.819, 7.538 and 5.255 Å and the angles 90.00°, 90.00° and 90.00°. Symmetry generates all atoms from Mg at (0.002, 0.057, 0.245), Mg at (0.250, 0.250, 0.760), Cd at (0.250, 0.750, 0.223), N at (0.012, 0.250, 0.523) and N at (0.250, 0.015, 0.986).


GeTeOs: optimized geometry, PBE-GGA.

The calculation puts the total energy at -6.174 eV/atom. The value obtained for the formation energy without anion corrections is 0.155 eV/atom.

The structure belongs to space group P2_1/m (No. 11); the cell edges are 4.767, 4.239 and 6.045 Å and the angles 90.00°, 104.40° and 90.00°. Symmetry generates all atoms from Ge at (0.157, 0.250, 0.004), Te at (0.273, 0.750, 0.576) and Os at (0.423, 0.750, 0.172).


CaBeSnF6: optimized geometry, PBE-GGA.

The calculation puts the total energy at -5.302 eV/atom. The value obtained for the formation energy without anion corrections is -2.973 eV/atom.

The structure belongs to space group P312 (No. 149); the cell edges are 5.3951, 5.3951 and 5.0360 Å and the angles 90.00°, 90.00° and 120.00°. Symmetry generates all atoms from Ca at (0.0000, 0.0000, 0.0000), Be at (0.3333, 0.6667, 0.0000), Sn at (0.6667, 0.3333, 0.5000) and F at (0.0581, 0.3938, 0.2071).


CaIrSe2: optimized geometry, PBE-GGA.

The calculation puts the total energy at -5.016 eV/atom. The value obtained for the formation energy without anion corrections is -0.558 eV/atom.

The structure belongs to space group P4mm (No. 99); the cell edges are 3.837, 3.837 and 5.606 Å and the angles 90.00°, 90.00° and 90.00°. Symmetry generates all atoms from Ca at (0.000, 0.000, 0.000), Ir at (0.500, 0.500, 0.408), Se at (0.000, 0.000, 0.487) and Se at (0.500, 0.500, 0.907).


ErLuMgTc: optimized geometry, PBE-GGA.

The calculated formation energy is -0.0478 eV/atom. The calculation puts the total energy at -5.309 eV/atom.

The structure belongs to space group F-43m (No. 216); the cell edges are 7.020, 7.020 and 7.020 Å and the angles 90.00°, 90.00° and 90.00°. Symmetry generates all atoms from Er at (0.000, 0.000, 0.000), Lu at (0.000, 0.000, 0.500), Mg at (0.250, 0.250, 0.750) and Tc at (0.250, 0.250, 0.250).


CaNCl: optimized geometry, PBE-GGA.

The calculation puts the total energy at -5.468 eV/atom. The value obtained for the formation energy without anion corrections is -1.410 eV/atom.

The structure belongs to space group P-1 (No. 2); the cell edges are 3.882, 3.932 and 9.852 Å and the angles 86.84°, 88.84° and 60.43°. Symmetry generates all atoms from Ca at (0.134, 0.215, 0.160), N at (0.424, 0.648, 0.035) and Cl at (0.203, 0.127, 0.686).


SiGeMo2: optimized geometry, PBE-GGA.

The calculation puts the total energy at -7.912 eV/atom. The value obtained for the formation energy without anion corrections is 0.013 eV/atom.

The structure belongs to space group Fm-3m (No. 225); the cell edges are 6.178, 6.178 and 6.178 Å and the angles 90.00°, 90.00° and 90.00°. Symmetry generates all atoms from Si at (0.000, 0.000, 0.000), Ge at (0.000, 0.000, 0.500) and Mo at (0.250, 0.250, 0.250).


K2TaNi: optimized geometry, PBE-GGA.

The calculated formation energy is 1.9343 eV/atom. The calculation puts the total energy at -3.023 eV/atom.

The structure belongs to space group Fm-3m (No. 225); the cell edges are 7.954, 7.954 and 7.954 Å and the angles 90.00°, 90.00° and 90.00°. Symmetry generates all atoms from K at (0.250, 0.250, 0.250), Ta at (0.000, 0.000, 0.000) and Ni at (0.000, 0.000, 0.500).


FeSi2Ru: optimized geometry, PBE-GGA.

The calculation puts the total energy at -7.385 eV/atom. The value obtained for the formation energy without anion corrections is -0.238 eV/atom.

The structure belongs to space group I-4m2 (No. 119); the cell edges are 3.494, 3.494 and 8.102 Å and the angles 90.00°, 90.00° and 90.00°. Symmetry generates all atoms from Fe at (0.000, 0.000, 0.000), Si at (0.000, 0.000, 0.500), Si at (0.000, 0.500, 0.250) and Ru at (0.000, 0.500, 0.750).


CeB4Ru4: optimized geometry, PBE-GGA.

The calculated formation energy is -0.4897 eV/atom. The calculation puts the total energy at -8.239 eV/atom.

The structure belongs to space group P4_2/nmc (No. 137, origin choice 2); the cell edges are 5.405, 5.405 and 7.341 Å and the angles 90.00°, 90.00° and 90.00°. Symmetry generates all atoms from Ce at (0.250, 0.750, 0.250), B at (0.079, 0.250, 0.098) and Ru at (0.006, 0.750, 0.611).


CuPd3: optimized geometry, PBE-GGA.

The calculated formation energy is -0.0238 eV/atom. The calculation puts the total energy at -4.942 eV/atom.

The structure belongs to space group Pmm2 (No. 25); the cell edges are 2.749, 4.521 and 4.745 Å and the angles 90.00°, 90.00° and 90.00°. Symmetry generates all atoms from Cu at (0.000, 0.000, 0.000), Pd at (0.000, 0.500, 0.330), Pd at (0.500, 0.000, 0.500) and Pd at (0.500, 0.500, 0.837).


La2YNb2: optimized geometry, PBE-GGA.

The calculated formation energy is 0.4244 eV/atom. The calculation puts the total energy at -6.867 eV/atom.

The structure belongs to space group P4/mbm (No. 127); the cell edges are 8.243, 8.243 and 4.185 Å and the angles 90.00°, 90.00° and 90.00°. Symmetry generates all atoms from La at (0.173, 0.327, 0.000), Y at (0.000, 0.000, 0.500) and Nb at (0.114, 0.614, 0.500).


CeSmPt3: optimized geometry, PBE-GGA.

The calculated formation energy is -1.0649 eV/atom. The calculation puts the total energy at -6.820 eV/atom.

The structure belongs to space group Pnnm (No. 58); the cell edges are 7.133, 7.882 and 7.762 Å and the angles 90.00°, 90.00° and 90.00°. Symmetry generates all atoms from Ce at (0.214, 0.138, 0.000), Sm at (0.209, 0.138, 0.500), Pt at (0.000, 0.500, 0.257) and Pt at (0.119, 0.856, 0.250).


Rb3Pm2BiS6: optimized geometry, PBE-GGA.

The calculation puts the total energy at -4.906 eV/atom. The value obtained for the formation energy without anion corrections is -1.485 eV/atom.

The structure belongs to space group C2/m (No. 12); the cell edges are 7.271, 12.591 and 8.074 Å and the angles 90.00°, 107.47° and 90.00°. Symmetry generates all atoms from Rb at (0.000, 0.000, 0.000), Rb at (0.000, 0.335, 0.000), Pm at (0.000, 0.167, 0.500), Bi at (0.000, 0.500, 0.500), S at (0.230, 0.000, 0.697) and S at (0.234, 0.332, 0.698).


CsSO2F: optimized geometry, PBE-GGA.

The calculation puts the total energy at -4.168 eV/atom. The value obtained for the formation energy without anion corrections is -0.814 eV/atom.

The structure belongs to space group P4/mmm (No. 123); the cell edges are 3.783, 3.783 and 5.534 Å and the angles 90.00°, 90.00° and 90.00°. Symmetry generates all atoms from Cs at (0.000, 0.000, 0.000), S at (0.500, 0.500, 0.500), O at (0.000, 0.500, 0.500) and F at (0.500, 0.500, 0.000).


no.,ρ (g/cm³)
1,5.15
2,10.55
3,6.26
4,6.74
5,5.49
6,3.57
7,10.96
8,3.69
9,7.85
10,8.92
11,2.28
12,8.24
13,4.20
14,7.15
15,9.10
16,10.78
17,6.45
18,13.33
19,4.46
20,4.53